This record from the Alexandria database describes a relaxed structure of Pr3HgOs. The functional is PBE-GGA.

a b c (Å): 5.581 5.581 5.581
angles (deg): 90.00 90.00 90.00
Fractional coordinates of all 5 atoms:
Pr 0.000 0.000 0.500
Pr 0.000 0.500 0.000
Pr 0.500 0.000 0.000
Hg 0.500 0.500 0.500
Os 0.000 0.000 0.000

Properties
As for the excess energy over the best structure of this formula in the dataset: 258 meV per atom. Its calculated formation energy is 3.2 kJ/mol of atoms. The volume comes out at 34.78 A^3/atom. The space group is Pm-3m. The calculation puts the total energy at -5.141 eV/atom. Its density of states at the Fermi level is 4.89 states/eV/f.u. The value obtained for the size of the total moment is 0.00 μB/f.u.

This record from the Alexandria database describes a relaxed structure of Pr3HgOs. The functional is PBE-GGA.

a b c (Å): 8.201 4.391 8.750
angles (deg): 90.00 105.76 90.00
Fractional coordinates of all 10 atoms:
Pr 0.065 0.250 0.271
Pr 0.304 0.250 0.930
Pr 0.334 0.750 0.591
Pr 0.666 0.250 0.409
Pr 0.696 0.750 0.070
Pr 0.935 0.750 0.729
Hg 0.348 0.750 0.210
Hg 0.652 0.250 0.790
Os 0.098 0.250 0.606
Os 0.902 0.750 0.394

Properties
As for the excess energy over the best structure of this formula in the dataset: 51 meV per atom. Its calculated formation energy is -16.8 kJ/mol of atoms. The volume comes out at 30.33 A^3/atom. The space group is P2_1/m. The calculation puts the total energy at -5.348 eV/atom. Its density of states at the Fermi level is 4.84 states/eV/f.u. The value obtained for the size of the total moment is 0.00 μB/f.u.

This record from the Alexandria database describes a relaxed structure of Pr7Hg2Os2. The functional is PBE-GGA.

a b c (Å): 7.041 7.041 7.356
angles (deg): 90.00 90.00 107.34
Fractional coordinates of all 11 atoms:
Pr 0.000 0.000 0.000
Pr 0.000 0.500 0.252
Pr 0.000 0.500 0.748
Pr 0.500 0.000 0.252
Pr 0.500 0.000 0.748
Pr 0.500 0.500 0.242
Pr 0.500 0.500 0.758
Hg 0.177 0.177 0.500
Hg 0.823 0.823 0.500
Os 0.294 0.706 0.000
Os 0.706 0.294 0.000

Properties
Its calculated formation energy is -12.4 kJ/mol of atoms. The volume comes out at 31.64 A^3/atom. The space group is Cmmm. The calculation puts the total energy at -5.266 eV/atom. Its density of states at the Fermi level is 11.94 states/eV/f.u. The value obtained for the size of the total moment is 0.00 μB/f.u.

This record from the Alexandria database describes a relaxed structure of Pr5Hg2Os2. The functional is PBE-GGA.

a b c (Å): 9.122 9.122 7.921
angles (deg): 90.00 90.00 50.58
Fractional coordinates of all 18 atoms:
Pr 0.000 0.000 0.000
Pr 0.060 0.695 0.682
Pr 0.195 0.560 0.182
Pr 0.305 0.940 0.682
Pr 0.440 0.805 0.182
Pr 0.500 0.500 0.500
Pr 0.560 0.195 0.818
Pr 0.695 0.060 0.318
Pr 0.805 0.440 0.818
Pr 0.940 0.305 0.318
Hg 0.219 0.219 0.000
Hg 0.281 0.281 0.500
Hg 0.719 0.719 0.500
Hg 0.781 0.781 0.000
Os 0.111 0.889 0.386
Os 0.389 0.611 0.886
Os 0.611 0.389 0.114
Os 0.889 0.111 0.614

Properties
Its calculated formation energy is -21.8 kJ/mol of atoms. The volume comes out at 28.28 A^3/atom. The space group is Cmce. The calculation puts the total energy at -5.443 eV/atom. Its density of states at the Fermi level is 8.45 states/eV/f.u. The value obtained for the size of the total moment is 0.00 μB/f.u.

This record from the Alexandria database describes a relaxed structure of Pr4Hg3Os. The functional is PBE-GGA.

a b c (Å): 6.532 6.532 6.532
angles (deg): 109.47 109.47 109.47
Fractional coordinates of all 8 atoms:
Pr 0.000 0.000 0.500
Pr 0.000 0.500 0.000
Pr 0.500 0.000 0.000
Pr 0.500 0.500 0.500
Hg 0.000 0.500 0.500
Hg 0.500 0.000 0.500
Hg 0.500 0.500 0.000
Os 0.000 0.000 0.000

Properties
Its calculated formation energy is -25.2 kJ/mol of atoms. The volume comes out at 26.82 A^3/atom. The space group is Im-3m. The calculation puts the total energy at -4.168 eV/atom. Its density of states at the Fermi level is 6.89 states/eV/f.u. The value obtained for the size of the total moment is 0.00 μB/f.u.

This record from the Alexandria database describes a relaxed structure of Pr4Hg2Os. The functional is PBE-GGA.

a b c (Å): 6.221 6.221 8.934
angles (deg): 117.71 117.71 44.31
Fractional coordinates of all 7 atoms:
Pr 0.070 0.070 0.348
Pr 0.331 0.331 0.939
Pr 0.669 0.669 0.061
Pr 0.930 0.930 0.652
Hg 0.353 0.353 0.333
Hg 0.647 0.647 0.667
Os 0.000 0.000 0.000

Properties
Its calculated formation energy is -26.4 kJ/mol of atoms. The volume comes out at 29.85 A^3/atom. The space group is C2/m. The calculation puts the total energy at -4.695 eV/atom. Its density of states at the Fermi level is 7.22 states/eV/f.u. The value obtained for the size of the total moment is 0.00 μB/f.u.

This record from the Alexandria database describes a relaxed structure of Pr5HgOs2. The functional is PBE-GGA.

a b c (Å): 9.029 9.029 9.029
angles (deg): 127.07 127.07 78.13
Fractional coordinates of all 16 atoms:
Pr 0.000 0.000 0.000
Pr 0.030 0.530 0.823
Pr 0.207 0.030 0.500
Pr 0.293 0.793 0.823
Pr 0.470 0.293 0.500
Pr 0.500 0.500 0.000
Pr 0.530 0.707 0.500
Pr 0.707 0.207 0.177
Pr 0.793 0.970 0.500
Pr 0.970 0.470 0.177
Hg 0.250 0.250 0.000
Hg 0.750 0.750 0.000
Os 0.138 0.362 0.500
Os 0.362 0.862 0.225
Os 0.638 0.138 0.775
Os 0.862 0.638 0.500

Properties
Its calculated formation energy is -17.9 kJ/mol of atoms. The volume comes out at 28.38 A^3/atom. The space group is I4/mcm. The calculation puts the total energy at -6.018 eV/atom. Its density of states at the Fermi level is 7.28 states/eV/f.u. The value obtained for the size of the total moment is 0.00 μB/f.u.

This record from the Alexandria database describes a relaxed structure of PrSmHgOs. The functional is PBE-GGA.

a b c (Å): 5.170 5.170 5.170
angles (deg): 60.00 60.00 60.00
Fractional coordinates of all 4 atoms:
Pr 0.000 0.000 0.000
Sm 0.500 0.500 0.500
Hg 0.250 0.250 0.250
Os 0.750 0.750 0.750

Properties
Its calculated formation energy is -12.4 kJ/mol of atoms. The volume comes out at 24.43 A^3/atom. The space group is F-43m. The calculation puts the total energy at -5.386 eV/atom. Its density of states at the Fermi level is 2.93 states/eV/f.u. The value obtained for the size of the total moment is 0.00 μB/f.u.

This record from the Alexandria database describes a relaxed structure of TbPrHgOs. The functional is PBE-GGA.

a b c (Å): 5.130 5.130 5.130
angles (deg): 60.00 60.00 60.00
Fractional coordinates of all 4 atoms:
Tb 0.000 0.000 0.000
Pr 0.500 0.500 0.500
Hg 0.750 0.750 0.750
Os 0.250 0.250 0.250

Properties
Its calculated formation energy is -14.9 kJ/mol of atoms. The volume comes out at 23.87 A^3/atom. The space group is F-43m. The calculation puts the total energy at -5.390 eV/atom. Its density of states at the Fermi level is 2.55 states/eV/f.u. The value obtained for the size of the total moment is 0.00 μB/f.u.

This record from the Alexandria database describes a relaxed structure of PrTmHgOs. The functional is PBE-GGA.

a b c (Å): 5.090 5.090 5.090
angles (deg): 60.00 60.00 60.00
Fractional coordinates of all 4 atoms:
Pr 0.000 0.000 0.000
Tm 0.500 0.500 0.500
Hg 0.250 0.250 0.250
Os 0.750 0.750 0.750

Properties
Its calculated formation energy is -16.0 kJ/mol of atoms. The volume comes out at 23.31 A^3/atom. The space group is F-43m. The calculation puts the total energy at -5.361 eV/atom. Its density of states at the Fermi level is 2.67 states/eV/f.u. The value obtained for the size of the total moment is 0.00 μB/f.u.

This record from the Alexandria database describes a relaxed structure of HgOsPt2. The functional is PBE-GGA.

a b c (Å): 2.810 2.810 9.876
angles (deg): 90.00 90.00 120.50
Fractional coordinates of all 4 atoms:
Hg 0.000 0.000 0.000
Os 0.500 0.500 0.263
Pt 0.000 0.000 0.492
Pt 0.500 0.500 0.737

Properties
Its calculated formation energy is 42.3 kJ/mol of atoms. The volume comes out at 16.80 A^3/atom. The space group is Cmm2. The calculation puts the total energy at -5.465 eV/atom. Its density of states at the Fermi level is 4.25 states/eV/f.u. The value obtained for the size of the total moment is 0.00 μB/f.u.

This record from the Alexandria database describes a relaxed structure of Hg4OsPt. The functional is PBE-GGA.

a b c (Å): 5.563 5.563 5.563
angles (deg): 60.00 60.00 60.00
Fractional coordinates of all 6 atoms:
Hg 0.125 0.125 0.125
Hg 0.125 0.125 0.625
Hg 0.125 0.625 0.125
Hg 0.625 0.125 0.125
Os 0.750 0.750 0.750
Pt 0.500 0.500 0.500

Properties
Its calculated formation energy is 106.5 kJ/mol of atoms. The volume comes out at 20.29 A^3/atom. The space group is F-43m. The calculation puts the total energy at -1.975 eV/atom. Its density of states at the Fermi level is 4.87 states/eV/f.u. The value obtained for the size of the total moment is 1.30 μB/f.u.

- Which value of size of the total moment does entry 12 give?
  1.30 μB/f.u.

Please write out number 3 again, unchanged.
This record from the Alexandria database describes a relaxed structure of Pr7Hg2Os2. The functional is PBE-GGA.

a b c (Å): 7.041 7.041 7.356
angles (deg): 90.00 90.00 107.34
Fractional coordinates of all 11 atoms:
Pr 0.000 0.000 0.000
Pr 0.000 0.500 0.252
Pr 0.000 0.500 0.748
Pr 0.500 0.000 0.252
Pr 0.500 0.000 0.748
Pr 0.500 0.500 0.242
Pr 0.500 0.500 0.758
Hg 0.177 0.177 0.500
Hg 0.823 0.823 0.500
Os 0.294 0.706 0.000
Os 0.706 0.294 0.000

Properties
Its calculated formation energy is -12.4 kJ/mol of atoms. The volume comes out at 31.64 A^3/atom. The space group is Cmmm. The calculation puts the total energy at -5.266 eV/atom. Its density of states at the Fermi level is 11.94 states/eV/f.u. The value obtained for the size of the total moment is 0.00 μB/f.u.

What did the first record say?
This record from the Alexandria database describes a relaxed structure of Pr3HgOs. The functional is PBE-GGA.

a b c (Å): 5.581 5.581 5.581
angles (deg): 90.00 90.00 90.00
Fractional coordinates of all 5 atoms:
Pr 0.000 0.000 0.500
Pr 0.000 0.500 0.000
Pr 0.500 0.000 0.000
Hg 0.500 0.500 0.500
Os 0.000 0.000 0.000

Properties
As for the excess energy over the best structure of this formula in the dataset: 258 meV per atom. Its calculated formation energy is 3.2 kJ/mol of atoms. The volume comes out at 34.78 A^3/atom. The space group is Pm-3m. The calculation puts the total energy at -5.141 eV/atom. Its density of states at the Fermi level is 4.89 states/eV/f.u. The value obtained for the size of the total moment is 0.00 μB/f.u.